MgNiMo2 after structural relaxation, computed with PBE.

abc: 4.7468 4.7468 2.6599
angles: 90.00 90.00 90.00
Last column: nearest neighbours and their distance in Å.
Sites, in units of the cell vectors:
Mg 0.0000 0.0000 0.0000  2 Mg 2.66, 8 Mo 2.72
Ni 0.5000 0.5000 0.0000  2 Ni 2.66, 8 Mo 2.72
Mo 0.0000 0.5000 0.5000  2 Mo 2.66, 4 Ni 2.72, 4 Mg 2.72
Mo 0.5000 0.0000 0.5000  2 Mo 2.66, 4 Ni 2.72, 4 Mg 2.72

Results
- V: 59.9 Å³ per cell
- Final energy: -27.0 eV/cell
- Energy relative to the elements: 0.52 eV/atom